This record from Alexandria describes a relaxed LaYS2Cl crystal. The functional is PBE.

Calculated values
SG: No. 123
ΔE to the lowest computed polymorph: 0.00 eV/f.u.
total magnetic moment: 0.092 μB/atom
energy relative to the elements, uncorrected: -1.59 eV per atom

Geometry as extended XYZ:
```
5
Lattice="5.223 0.000 0.000 0.000 5.223 0.000 0.000 0.000 5.045" Properties=species:S:1:pos:R:3 pbc="T T T"
La 0.000 0.000 0.000
Y 2.612 2.612 2.522
S 0.000 2.612 2.522
S 2.612 0.000 2.522
Cl 2.612 2.612 0.000
```

---

This record from Alexandria describes a relaxed Tb6DyY2Er crystal. The functional is PBE.

Calculated values
ΔE_f: 0.12 eV per atom
SG: No. 15
total magnetic moment: 0.000 μB/atom

Geometry as extended XYZ:
```
20
Lattice="4.551 -7.522 0.000 4.551 7.522 0.000 -1.173 0.000 9.444" Properties=species:S:1:pos:R:3 pbc="T T T"
Tb 2.439 4.147 1.755
Tb 3.337 4.750 5.253
Tb 4.005 4.750 8.913
Tb 3.194 1.640 3.598
Tb 6.076 4.147 2.967
Tb 5.320 1.640 1.124
Tb 2.608 -1.640 8.320
Tb 1.852 -4.147 6.477
Tb 4.733 -1.640 5.846
Tb 3.923 -4.750 0.531
Tb 4.591 -4.750 4.191
Tb 5.489 -4.147 7.689
Dy 4.257 7.138 2.361
Dy 3.671 -7.138 7.083
Y 2.225 0.767 0.425
Y 1.638 -0.767 5.148
Y 6.290 0.767 4.297
Y 5.703 -0.767 9.019
Er 3.671 1.363 7.083
Er 4.257 -1.363 2.361
```

---

This record from Alexandria describes a relaxed CaTbIr2 crystal. The functional is PBE.

Calculated values
ΔE_f: -0.48 eV per atom
SG: No. 123
total magnetic moment: 0.000 μB/atom

Geometry as extended XYZ:
```
4
Lattice="3.433 0.000 0.000 0.000 3.433 0.000 0.000 0.000 6.863" Properties=species:S:1:pos:R:3 pbc="T T T"
Ca 0.000 0.000 0.000
Tb 0.000 0.000 3.432
Ir 1.716 1.716 1.803
Ir 1.716 1.716 5.060
```

---

This record from Alexandria describes a relaxed CrNi2HRu crystal. The functional is PBE.

Calculated values
SG: No. 123
ΔE to the lowest computed polymorph: 0.08 eV/f.u.
total magnetic moment: 0.265 μB/atom

Geometry as extended XYZ:
```
5
Lattice="3.584 0.000 0.000 0.000 3.584 0.000 0.000 0.000 3.883" Properties=species:S:1:pos:R:3 pbc="T T T"
Cr 0.000 0.000 0.000
Ni 0.000 1.792 1.941
Ni 1.792 0.000 1.941
H 0.000 0.000 1.941
Ru 1.792 1.792 0.000
```

---

Repeat the second record exactly.
This record from Alexandria describes a relaxed Tb6DyY2Er crystal. The functional is PBE.

Calculated values
ΔE_f: 0.12 eV per atom
SG: No. 15
total magnetic moment: 0.000 μB/atom

Geometry as extended XYZ:
```
20
Lattice="4.551 -7.522 0.000 4.551 7.522 0.000 -1.173 0.000 9.444" Properties=species:S:1:pos:R:3 pbc="T T T"
Tb 2.439 4.147 1.755
Tb 3.337 4.750 5.253
Tb 4.005 4.750 8.913
Tb 3.194 1.640 3.598
Tb 6.076 4.147 2.967
Tb 5.320 1.640 1.124
Tb 2.608 -1.640 8.320
Tb 1.852 -4.147 6.477
Tb 4.733 -1.640 5.846
Tb 3.923 -4.750 0.531
Tb 4.591 -4.750 4.191
Tb 5.489 -4.147 7.689
Dy 4.257 7.138 2.361
Dy 3.671 -7.138 7.083
Y 2.225 0.767 0.425
Y 1.638 -0.767 5.148
Y 6.290 0.767 4.297
Y 5.703 -0.767 9.019
Er 3.671 1.363 7.083
Er 4.257 -1.363 2.361
```

---

> Which value of total magnetic moment does entry 4 give?

0.265 μB/atom

---

> Among the records above, which one has the highest total magnetic moment?

CrNi2HRu